Here is crystalline KIn2Hg4 at its relaxed geometry from Alexandria. Energies are from PBE.

```
KIn2Hg4
1.0
5.3894 0.0000 0.0000
0.0000 5.4593 0.0000
0.0000 -2.7297 7.2670
Hg In K
4 2 1
Cartesian
0.0000 0.0000 4.4713 Hg
2.6947 2.7297 4.7506 Hg
2.6947 0.0000 2.5163 Hg
0.0000 2.7297 2.7957 Hg
2.6947 0.0000 5.7940 In
2.6947 2.7297 1.4730 In
0.0000 0.0000 0.0000 K
```

Summary:
As for the density of states at the Fermi level: 0.2686 states/eV/atom. The calculation puts the total moment at 0.0 μB/f.u. The calculation puts the offset from the most stable computed form at 0 meV/atom. As for the space-group type: Cmmm (65). The energy of formation is -0.114 eV per atom.

***

Here is crystalline ZrSc2Cd at its relaxed geometry from Alexandria. Energies are from PBE.

```
ZrSc2Cd
1.0
-3.4207 1.7293 -6.8974
5.0019 -4.8551 -3.6979
-1.1687 -3.8792 -4.9067
Zr Cd Sc
2 2 4
Cartesian
2.3119 -5.1486 -6.9511 Zr
0.7906 -1.5629 -5.2976 Zr
0.0000 0.0000 0.0000 Cd
-1.8994 -1.8564 -8.5509 Cd
-0.3773 -3.9905 -7.5840 Sc
0.6008 -5.7354 -13.0202 Sc
2.4705 -3.8205 -4.2708 Sc
-1.8690 -0.4634 -6.1291 Sc
```

Summary:
As for the density of states at the Fermi level: 0.8063 states/eV/atom. The calculation puts the total moment at 0.0 μB/f.u. The calculation puts the offset from the most stable computed form at 425 meV/atom. As for the space-group type: I-42d (122). The energy of formation is 0.253 eV per atom.

***

Here is crystalline HfZnPd at its relaxed geometry from Alexandria. Energies are from PBE.

```
HfZnPd
1.0
-0.9604 5.2530 3.4522
-3.4780 -0.0065 -0.9577
-1.4504 -7.7228 5.3198
Zn Pd Hf
4 4 4
Cartesian
-1.3504 2.3719 4.8881 Zn
-1.0604 -4.8417 3.8839 Zn
-2.0742 -0.9836 0.7452 Zn
-3.8146 -1.4927 7.0691 Zn
-2.5604 1.8616 2.4915 Pd
-0.8642 -0.4732 3.1417 Pd
-3.3284 -4.3379 5.3228 Pd
-1.5466 -1.9965 5.6303 Pd
-3.1535 0.1428 4.6570 Hf
-0.2711 1.2455 0.9762 Hf
-2.1397 -3.7153 7.7958 Hf
-2.7353 -2.6191 3.1573 Hf
```

Summary:
As for the density of states at the Fermi level: 0.6014 states/eV/atom. The calculation puts the total moment at 0.0 μB/f.u. As for the space-group type: C2/m (12). The energy of formation is -0.497 eV per atom.

***

Here is crystalline La2TlGe3Pd4 at its relaxed geometry from Alexandria. Energies are from PBE.

```
La2TlGe3Pd4
1.0
4.4145 0.0000 0.0000
0.0000 4.4145 0.0000
0.0000 0.0000 10.6976
Ge Pd Tl La
3 4 1 2
Cartesian
2.2072 0.0000 9.4191 Ge
0.0000 2.2072 1.2785 Ge
0.0000 0.0000 5.3488 Ge
2.2072 2.2072 0.0000 Pd
0.0000 0.0000 0.0000 Pd
2.2072 0.0000 6.9666 Pd
0.0000 2.2072 3.7310 Pd
2.2072 2.2072 5.3488 Tl
0.0000 2.2072 8.1297 La
2.2072 0.0000 2.5679 La
```

Summary:
As for the density of states at the Fermi level: 0.4614 states/eV/atom. The calculation puts the total moment at 0.0 μB/f.u. As for the space-group type: P-4m2 (115). The energy of formation is -0.744 eV per atom.